# 1
# Hf2Tl2Re, optimized geometry, DFT GGA-PBEsol
data_Hf2Tl2Re
_symmetry_space_group_name_H-M 'P 1'
_symmetry_Int_Tables_number 1
_cell_length_a 8.3671
_cell_length_b 8.3671
_cell_length_c 8.3671
_cell_angle_alpha 154.14
_cell_angle_beta 154.14
_cell_angle_gamma 36.90
loop_
_symmetry_equiv_pos_as_xyz
'x,y,z'
loop_
_atom_site_label
_atom_site_type_symbol
_atom_site_fract_x
_atom_site_fract_y
_atom_site_fract_z
Hf1 Hf 0.0882 0.0882 0.0000
Hf2 Hf 0.9118 0.9118 0.0000
Tl1 Tl 0.2500 0.7500 0.5000
Tl2 Tl 0.7500 0.2500 0.5000
Re1 Re 0.5000 0.5000 0.0000
# ΔE_f in eV/atom: 0.7483
# Size of the total moment in μB/cell: 0.0

***

# 2
# CdRuS2N, optimized geometry, DFT GGA-PBEsol
data_CdRuS2N
_symmetry_space_group_name_H-M 'P 1'
_symmetry_Int_Tables_number 1
_cell_length_a 4.9300
_cell_length_b 4.9300
_cell_length_c 3.9840
_cell_angle_alpha 90.00
_cell_angle_beta 90.00
_cell_angle_gamma 90.00
loop_
_symmetry_equiv_pos_as_xyz
'x,y,z'
loop_
_atom_site_label
_atom_site_type_symbol
_atom_site_fract_x
_atom_site_fract_y
_atom_site_fract_z
Cd1 Cd 0.0000 0.0000 0.0000
Ru1 Ru 0.5000 0.5000 0.5000
S1 S 0.0000 0.5000 0.0000
S2 S 0.5000 0.0000 0.0000
N1 N 0.0000 0.0000 0.5000
# Energy above the lowest structure with this stoichiometry in meV/atom: 1619.2
# Size of the total moment in μB/cell: 5.2
# Formation energy without anion corrections in eV per atom: 1.825

***

# 3
# Nd2MoSe2O10, optimized geometry, DFT GGA-PBEsol
data_Nd2MoSe2O10
_symmetry_space_group_name_H-M 'P 1'
_symmetry_Int_Tables_number 1
_cell_length_a 5.3753
_cell_length_b 6.8568
_cell_length_c 12.5087
_cell_angle_alpha 85.60
_cell_angle_beta 83.88
_cell_angle_gamma 69.52
loop_
_symmetry_equiv_pos_as_xyz
'x,y,z'
loop_
_atom_site_label
_atom_site_type_symbol
_atom_site_fract_x
_atom_site_fract_y
_atom_site_fract_z
Nd1 Nd 0.0861 0.3884 0.3521
Nd2 Nd 0.1678 0.1965 0.0483
Nd3 Nd 0.8322 0.8035 0.9517
Nd4 Nd 0.9139 0.6116 0.6479
Mo1 Mo 0.3632 0.7791 0.4420
Mo2 Mo 0.6368 0.2209 0.5580
Se1 Se 0.2587 0.9259 0.7744
Se2 Se 0.4011 0.6003 0.1322
Se3 Se 0.5989 0.3997 0.8678
Se4 Se 0.7413 0.0741 0.2256
O1 O 0.1208 0.7303 0.7790
O2 O 0.1395 0.9943 0.9044
O3 O 0.1538 0.6223 0.4713
O4 O 0.1673 0.0261 0.3945
O5 O 0.1821 0.6680 0.2435
O6 O 0.1876 0.5565 0.0444
O7 O 0.3552 0.3360 0.6469
O8 O 0.4120 0.2184 0.2034
O9 O 0.4428 0.8329 0.0812
O10 O 0.4779 0.7920 0.5672
O11 O 0.5221 0.2080 0.4328
O12 O 0.5572 0.1671 0.9188
O13 O 0.5880 0.7816 0.7966
O14 O 0.6448 0.6640 0.3531
O15 O 0.8124 0.4435 0.9556
O16 O 0.8179 0.3320 0.7565
O17 O 0.8327 0.9739 0.6055
O18 O 0.8462 0.3777 0.5287
O19 O 0.8605 0.0057 0.0956
O20 O 0.8792 0.2697 0.2210
# Size of the total moment in μB/cell: 0.0
# Formation energy without anion corrections in eV per atom: -2.134

***

# 4
# ReOsPt2, optimized geometry, DFT GGA-PBEsol
data_ReOsPt2
_symmetry_space_group_name_H-M 'P 1'
_symmetry_Int_Tables_number 1
_cell_length_a 2.6993
_cell_length_b 2.6993
_cell_length_c 7.9608
_cell_angle_alpha 90.00
_cell_angle_beta 90.00
_cell_angle_gamma 90.00
loop_
_symmetry_equiv_pos_as_xyz
'x,y,z'
loop_
_atom_site_label
_atom_site_type_symbol
_atom_site_fract_x
_atom_site_fract_y
_atom_site_fract_z
Re1 Re 0.0000 0.0000 0.0000
Os1 Os 0.0000 0.0000 0.5000
Pt1 Pt 0.5000 0.5000 0.2489
Pt2 Pt 0.5000 0.5000 0.7511
# ΔE_f in eV/atom: 0.1219
# Energy above the lowest structure with this stoichiometry in meV/atom: 185.6
# Size of the total moment in μB/cell: 0.0

***

# 5
# CsZn2Bi2, optimized geometry, DFT GGA-PBEsol
data_CsZn2Bi2
_symmetry_space_group_name_H-M 'P 1'
_symmetry_Int_Tables_number 1
_cell_length_a 6.9107
_cell_length_b 6.9107
_cell_length_c 6.9107
_cell_angle_alpha 138.51
_cell_angle_beta 138.51
_cell_angle_gamma 60.12
loop_
_symmetry_equiv_pos_as_xyz
'x,y,z'
loop_
_atom_site_label
_atom_site_type_symbol
_atom_site_fract_x
_atom_site_fract_y
_atom_site_fract_z
Cs1 Cs 0.0000 0.0000 0.0000
Zn1 Zn 0.3955 0.3955 0.0000
Zn2 Zn 0.6045 0.6045 0.0000
Bi1 Bi 0.2500 0.7500 0.5000
Bi2 Bi 0.7500 0.2500 0.5000
# ΔE_f in eV/atom: -0.1260
# Size of the total moment in μB/cell: 0.0

***

# 6
# CeB2Ir2Rh, optimized geometry, DFT GGA-PBEsol
data_CeB2Ir2Rh
_symmetry_space_group_name_H-M 'P 1'
_symmetry_Int_Tables_number 1
_cell_length_a 5.4312
_cell_length_b 5.4312
_cell_length_c 3.1047
_cell_angle_alpha 90.00
_cell_angle_beta 90.00
_cell_angle_gamma 119.86
loop_
_symmetry_equiv_pos_as_xyz
'x,y,z'
loop_
_atom_site_label
_atom_site_type_symbol
_atom_site_fract_x
_atom_site_fract_y
_atom_site_fract_z
Ce1 Ce 0.0000 0.0000 0.0000
B1 B 0.3341 0.6659 0.0000
B2 B 0.6659 0.3341 0.0000
Ir1 Ir 0.0000 0.5000 0.5000
Ir2 Ir 0.5000 0.0000 0.5000
Rh1 Rh 0.5000 0.5000 0.5000
# ΔE_f in eV/atom: -0.6989
# Size of the total moment in μB/cell: 0.5

***

# 7
# BeIrRh, optimized geometry, DFT GGA-PBEsol
data_BeIrRh
_symmetry_space_group_name_H-M 'P 1'
_symmetry_Int_Tables_number 1
_cell_length_a 5.0332
_cell_length_b 5.0332
_cell_length_c 5.0332
_cell_angle_alpha 148.39
_cell_angle_beta 148.39
_cell_angle_gamma 45.31
loop_
_symmetry_equiv_pos_as_xyz
'x,y,z'
loop_
_atom_site_label
_atom_site_type_symbol
_atom_site_fract_x
_atom_site_fract_y
_atom_site_fract_z
Be1 Be 0.0000 0.0000 0.0000
Ir1 Ir 0.6463 0.6463 0.0000
Rh1 Rh 0.3513 0.3513 0.0000
# ΔE_f in eV/atom: -0.3338
# Size of the total moment in μB/cell: 0.0

***

# 8
# ZrNbFe4, optimized geometry, DFT GGA-PBEsol
data_ZrNbFe4
_symmetry_space_group_name_H-M 'P 1'
_symmetry_Int_Tables_number 1
_cell_length_a 4.8169
_cell_length_b 4.8169
_cell_length_c 4.8169
_cell_angle_alpha 60.00
_cell_angle_beta 60.00
_cell_angle_gamma 60.00
loop_
_symmetry_equiv_pos_as_xyz
'x,y,z'
loop_
_atom_site_label
_atom_site_type_symbol
_atom_site_fract_x
_atom_site_fract_y
_atom_site_fract_z
Zr1 Zr 0.0000 0.0000 0.0000
Nb1 Nb 0.7500 0.7500 0.7500
Fe1 Fe 0.3751 0.3751 0.3751
Fe2 Fe 0.3751 0.3751 0.8746
Fe3 Fe 0.3751 0.8746 0.3751
Fe4 Fe 0.8746 0.3751 0.3751
# ΔE_f in eV/atom: -0.2022
# Energy above the lowest structure with this stoichiometry in meV/atom: 6.0
# Size of the total moment in μB/cell: 5.1

***

# 9
# YCrRh2, optimized geometry, DFT GGA-PBEsol
data_YCrRh2
_symmetry_space_group_name_H-M 'P 1'
_symmetry_Int_Tables_number 1
_cell_length_a 5.0652
_cell_length_b 5.0652
_cell_length_c 5.0652
_cell_angle_alpha 134.58
_cell_angle_beta 134.58
_cell_angle_gamma 66.18
loop_
_symmetry_equiv_pos_as_xyz
'x,y,z'
loop_
_atom_site_label
_atom_site_type_symbol
_atom_site_fract_x
_atom_site_fract_y
_atom_site_fract_z
Y1 Y 0.0000 0.0000 0.0000
Cr1 Cr 0.7500 0.2500 0.5000
Rh1 Rh 0.2500 0.7500 0.5000
Rh2 Rh 0.5000 0.5000 0.0000
# ΔE_f in eV/atom: -0.0766
# Size of the total moment in μB/cell: 3.1

***

# 10
# Al2TcNi, optimized geometry, DFT GGA-PBEsol
data_Al2TcNi
_symmetry_space_group_name_H-M 'P 1'
_symmetry_Int_Tables_number 1
_cell_length_a 2.9595
_cell_length_b 2.9748
_cell_length_c 5.8185
_cell_angle_alpha 90.00
_cell_angle_beta 90.00
_cell_angle_gamma 90.00
loop_
_symmetry_equiv_pos_as_xyz
'x,y,z'
loop_
_atom_site_label
_atom_site_type_symbol
_atom_site_fract_x
_atom_site_fract_y
_atom_site_fract_z
Al1 Al 0.0000 0.0000 0.2403
Al2 Al 0.0000 0.0000 0.7597
Tc1 Tc 0.5000 0.5000 0.5000
Ni1 Ni 0.5000 0.5000 0.0000
# ΔE_f in eV/atom: -0.4559
# Size of the total moment in μB/cell: 0.0

***

# 11
# RbCdPt3, optimized geometry, DFT GGA-PBEsol
data_RbCdPt3
_symmetry_space_group_name_H-M 'P 1'
_symmetry_Int_Tables_number 1
_cell_length_a 5.0167
_cell_length_b 5.0167
_cell_length_c 5.0167
_cell_angle_alpha 90.00
_cell_angle_beta 90.00
_cell_angle_gamma 90.00
loop_
_symmetry_equiv_pos_as_xyz
'x,y,z'
loop_
_atom_site_label
_atom_site_type_symbol
_atom_site_fract_x
_atom_site_fract_y
_atom_site_fract_z
Rb1 Rb 0.0000 0.0000 0.0000
Cd1 Cd 0.5000 0.5000 0.5000
Pt1 Pt 0.0000 0.5000 0.5000
Pt2 Pt 0.5000 0.0000 0.5000
Pt3 Pt 0.5000 0.5000 0.0000
# ΔE_f in eV/atom: 1.0093
# Energy above the lowest structure with this stoichiometry in meV/atom: 0.0
# Size of the total moment in μB/cell: 0.0

***

# 12
# CaTe2Se, optimized geometry, DFT GGA-PBEsol
data_CaTe2Se
_symmetry_space_group_name_H-M 'P 1'
_symmetry_Int_Tables_number 1
_cell_length_a 5.0854
_cell_length_b 5.0854
_cell_length_c 4.1129
_cell_angle_alpha 90.00
_cell_angle_beta 90.00
_cell_angle_gamma 101.39
loop_
_symmetry_equiv_pos_as_xyz
'x,y,z'
loop_
_atom_site_label
_atom_site_type_symbol
_atom_site_fract_x
_atom_site_fract_y
_atom_site_fract_z
Ca1 Ca 0.0000 0.0000 0.0000
Te1 Te 0.0000 0.5000 0.5000
Te2 Te 0.5000 0.0000 0.5000
Se1 Se 0.5000 0.5000 0.0000
# Size of the total moment in μB/cell: 0.0
# Formation energy without anion corrections in eV per atom: -0.551